[1]
Here is a relaxed structure of Sm12Ni6Hg from Alexandria. Energies are from GGA-PBE.

The space group is Im-3 (No. 204) and the conventional cell measures 9.893, 9.893 and 9.893 Å, with angles of 90.00, 90.00 and 90.00 degrees. Symmetry generates all atoms from Sm at (0.000, 0.186, 0.304), Ni at (0.000, 0.377, 0.500) and Hg at (0.000, 0.000, 0.000).

The value obtained for the mass density is 8.08 g/cm3. The size of the total moment is 0.0 μB per cell. The total energy is -5.117 eV per atom.

---

[2]
Here is a relaxed structure of Sm8Ni2Hg from Alexandria. Energies are from GGA-PBE.

The space group is Cm (No. 8) and the conventional cell measures 8.562, 13.580 and 5.559 Å, with angles of 90.00, 104.87 and 90.00 degrees. Symmetry generates all atoms from Sm at (0.000, 0.000, 0.000), Sm at (0.097, 0.373, 0.767), Sm at (0.181, 0.127, 0.616), Sm at (0.279, 0.500, 0.383), Sm at (0.389, 0.244, 0.192), Ni at (0.390, 0.298, 0.692) and Hg at (0.389, 0.000, 0.191).

The value obtained for the mass density is 8.09 g/cm3. The size of the total moment is 0.0 μB per cell. The total energy is -4.628 eV per atom.

---

[3]
Here is a relaxed structure of Sm11Ni4Hg9 from Alexandria. Energies are from GGA-PBE.

The space group is Cmmm (No. 65) and the conventional cell measures 14.617, 21.961 and 3.676 Å, with angles of 90.00, 90.00 and 90.00 degrees. Symmetry generates all atoms from Sm at (0.000, 0.000, 0.000), Sm at (0.000, 0.166, 0.000), Sm at (0.000, 0.374, 0.000), Sm at (0.192, 0.500, 0.000), Sm at (0.248, 0.168, 0.000), Ni at (0.150, 0.400, 0.500), Hg at (0.000, 0.500, 0.500), Hg at (0.106, 0.264, 0.500) and Hg at (0.146, 0.072, 0.500).

The value obtained for the mass density is 10.40 g/cm3. The size of the total moment is 0.0 μB per cell. The total energy is -3.703 eV per atom.

---

[4]
Here is a relaxed structure of Sm8NiHg2 from Alexandria. Energies are from GGA-PBE.

The space group is C2/m (No. 12) and the conventional cell measures 18.063, 5.231 and 6.921 Å, with angles of 90.00, 101.17 and 90.00 degrees. Symmetry generates all atoms from Sm at (0.020, 0.000, 0.275), Sm at (0.089, 0.500, 0.946), Sm at (0.149, 0.500, 0.468), Sm at (0.203, 0.000, 0.812), Ni at (0.000, 0.500, 0.500) and Hg at (0.191, 0.000, 0.245).

Its offset from the most stable computed form is 0.0 meV/atom. The value obtained for the mass density is 8.61 g/cm3. The size of the total moment is 0.0 μB per cell. The total energy is -4.207 eV per atom.

---

[5]
Here is a relaxed structure of Sm4NiHg3 from Alexandria. Energies are from GGA-PBE.

The space group is P4/mmm (No. 123) and the conventional cell measures 3.664, 3.664 and 15.282 Å, with angles of 90.00, 90.00 and 90.00 degrees. Symmetry generates all atoms from Sm at (0.000, 0.000, 0.107), Sm at (0.000, 0.000, 0.369), Ni at (0.500, 0.500, 0.000), Hg at (0.500, 0.500, 0.241) and Hg at (0.500, 0.500, 0.500).

The value obtained for the mass density is 10.21 g/cm3. The size of the total moment is 0.3 μB per cell. The total energy is -3.611 eV per atom.

---

[6]
Here is a relaxed structure of SmNiHg from Alexandria. Energies are from GGA-PBE.

The space group is I4mm (No. 107) and the conventional cell measures 3.605, 3.605 and 9.759 Å, with angles of 90.00, 90.00 and 90.00 degrees. Symmetry generates all atoms from Sm at (0.000, 0.000, 0.000), Ni at (0.000, 0.000, 0.654) and Hg at (0.000, 0.000, 0.306).

The value obtained for the mass density is 10.73 g/cm3. The size of the total moment is 0.0 μB per cell. The total energy is -3.843 eV per atom.